Crystalline Sb2TeAu4 at its relaxed geometry. Source: the Alexandria database, functional PBE.

**Density of states at the Fermi level**: 4.92 states/eV/f.u.
**Space-group type**: No. 139
**Total magnetic moment**: 0.00 μB/f.u.
**Uncorrected formation energy**: 0.345 eV/atom

POSCAR file:
```
Sb2TeAu4
1.0
5.408 0.000 0.000
0.000 5.408 0.000
0.000 0.000 13.694
Sb Te Au
4 2 8
Direct
0.000 0.000 0.111
0.000 0.000 0.889
0.500 0.500 0.389
0.500 0.500 0.611
0.000 0.000 0.500
0.500 0.500 0.000
0.000 0.000 0.300
0.000 0.000 0.700
0.000 0.500 0.000
0.000 0.500 0.500
0.500 0.000 0.000
0.500 0.000 0.500
0.500 0.500 0.200
0.500 0.500 0.800
```


Crystalline CaCrRhS2 at its relaxed geometry. Source: the Alexandria database, functional PBE.

**Density of states at the Fermi level**: 4.18 states/eV/f.u.
**Space-group type**: No. 123
**Total magnetic moment**: 1.38 μB/f.u.
**Uncorrected formation energy**: 0.356 eV/atom

POSCAR file:
```
CaCrRhS2
1.0
4.346 0.000 0.000
0.000 4.346 0.000
0.000 0.000 5.423
Ca Cr Rh S
1 1 1 2
Direct
0.000 0.000 0.000
0.000 0.000 0.500
0.500 0.500 0.000
0.000 0.500 0.500
0.500 0.000 0.500
```


- What is the formula in the first record?
  Sb2TeAu4


- Among the records above, which one has the highest uncorrected formation energy?
  CaCrRhS2


- The lowest total magnetic moment belongs to which entry?
  Sb2TeAu4


What did the first record say?
Crystalline Sb2TeAu4 at its relaxed geometry. Source: the Alexandria database, functional PBE.

**Density of states at the Fermi level**: 4.92 states/eV/f.u.
**Space-group type**: No. 139
**Total magnetic moment**: 0.00 μB/f.u.
**Uncorrected formation energy**: 0.345 eV/atom

POSCAR file:
```
Sb2TeAu4
1.0
5.408 0.000 0.000
0.000 5.408 0.000
0.000 0.000 13.694
Sb Te Au
4 2 8
Direct
0.000 0.000 0.111
0.000 0.000 0.889
0.500 0.500 0.389
0.500 0.500 0.611
0.000 0.000 0.500
0.500 0.500 0.000
0.000 0.000 0.300
0.000 0.000 0.700
0.000 0.500 0.000
0.000 0.500 0.500
0.500 0.000 0.000
0.500 0.000 0.500
0.500 0.500 0.200
0.500 0.500 0.800
```